(1)
# FeRe2

A relaxed structure of FeRe2 (PBE, Alexandria via LeMat-Bulk).

For the calculated formation energy, the calculation gives 0.1165 eV per atom. Its space group is P-3m1.

Geometry as CIF:
```
data_FeRe2
_symmetry_space_group_name_H-M 'P 1'
_symmetry_Int_Tables_number 1
_cell_length_a 4.308
_cell_length_b 4.308
_cell_length_c 2.637
_cell_angle_alpha 90.00
_cell_angle_beta 90.00
_cell_angle_gamma 120.00
loop_
_symmetry_equiv_pos_as_xyz
'x,y,z'
loop_
_atom_site_label
_atom_site_fract_x
_atom_site_fract_y
_atom_site_fract_z
_atom_site_occupancy
Re1 0.667 0.333 0.326 1
Re2 0.333 0.667 0.674 1
Fe1 0.000 0.000 0.000 1
```

=====

(2)
# FeRe

A relaxed structure of FeRe (PBE, Alexandria via LeMat-Bulk).

For the calculated formation energy, the calculation gives 0.0014 eV per atom. Its space group is Pnma.

Geometry as CIF:
```
data_FeRe
_symmetry_space_group_name_H-M 'P 1'
_symmetry_Int_Tables_number 1
_cell_length_a 9.205
_cell_length_b 4.223
_cell_length_c 5.245
_cell_angle_alpha 90.00
_cell_angle_beta 90.00
_cell_angle_gamma 90.00
loop_
_symmetry_equiv_pos_as_xyz
'x,y,z'
loop_
_atom_site_label
_atom_site_fract_x
_atom_site_fract_y
_atom_site_fract_z
_atom_site_occupancy
Fe1 0.668 0.750 0.499 1
Fe2 0.332 0.250 0.501 1
Fe3 0.084 0.250 0.251 1
Fe4 0.832 0.250 0.999 1
Fe5 0.916 0.750 0.749 1
Fe6 0.168 0.750 0.001 1
Fe7 0.416 0.750 0.751 1
Fe8 0.584 0.250 0.249 1
Re1 0.169 0.750 0.503 1
Re2 0.422 0.750 0.258 1
Re3 0.831 0.250 0.497 1
Re4 0.578 0.250 0.742 1
Re5 0.922 0.750 0.242 1
Re6 0.331 0.250 0.003 1
Re7 0.078 0.250 0.758 1
Re8 0.669 0.750 0.997 1
```

=====

(3)
# FeRe2

A relaxed structure of FeRe2 (PBE, Alexandria via LeMat-Bulk).

For the calculated formation energy, the calculation gives 0.0443 eV per atom. Its space group is Cmcm.

Geometry as CIF:
```
data_FeRe2
_symmetry_space_group_name_H-M 'P 1'
_symmetry_Int_Tables_number 1
_cell_length_a 2.713
_cell_length_b 7.081
_cell_length_c 4.332
_cell_angle_alpha 90.00
_cell_angle_beta 90.00
_cell_angle_gamma 78.96
loop_
_symmetry_equiv_pos_as_xyz
'x,y,z'
loop_
_atom_site_label
_atom_site_fract_x
_atom_site_fract_y
_atom_site_fract_z
_atom_site_occupancy
Re1 0.219 0.562 0.500 1
Re2 0.999 0.003 0.000 1
Re3 0.670 0.660 0.000 1
Re4 0.890 0.220 0.500 1
Fe1 0.553 0.894 0.500 1
Fe2 0.336 0.328 0.000 1
```

=====

(4)
# FeRe

A relaxed structure of FeRe (PBE, Alexandria via LeMat-Bulk).

For the calculated formation energy, the calculation gives 0.1604 eV per atom. Its space group is R-3m.

Geometry as CIF:
```
data_FeRe
_symmetry_space_group_name_H-M 'P 1'
_symmetry_Int_Tables_number 1
_cell_length_a 8.536
_cell_length_b 2.745
_cell_length_c 2.745
_cell_angle_alpha 60.00
_cell_angle_beta 99.25
_cell_angle_gamma 99.25
loop_
_symmetry_equiv_pos_as_xyz
'x,y,z'
loop_
_atom_site_label
_atom_site_fract_x
_atom_site_fract_y
_atom_site_fract_z
_atom_site_occupancy
Fe1 0.987 0.996 0.996 1
Fe2 0.763 0.254 0.254 1
Re1 0.243 0.748 0.748 1
Re2 0.507 0.502 0.502 1
```

=====

(5)
# FeRe2

A relaxed structure of FeRe2 (PBE, Alexandria via LeMat-Bulk).

For the calculated formation energy, the calculation gives 0.3181 eV per atom. Its space group is I4_1/amd.

Geometry as CIF:
```
data_FeRe2
_symmetry_space_group_name_H-M 'P 1'
_symmetry_Int_Tables_number 1
_cell_length_a 11.883
_cell_length_b 11.883
_cell_length_c 11.883
_cell_angle_alpha 167.08
_cell_angle_beta 167.08
_cell_angle_gamma 18.31
loop_
_symmetry_equiv_pos_as_xyz
'x,y,z'
loop_
_atom_site_label
_atom_site_fract_x
_atom_site_fract_y
_atom_site_fract_z
_atom_site_occupancy
Re1 0.575 0.575 0.000 1
Re2 0.425 0.425 0.000 1
Re3 0.325 0.825 0.500 1
Re4 0.175 0.675 0.500 1
Fe1 0.750 0.250 0.500 1
Fe2 0.000 0.000 0.000 1
```

=====

(6)
# Fe7Re

A relaxed structure of Fe7Re (PBE, Alexandria via LeMat-Bulk).

For the calculated formation energy, the calculation gives 0.1384 eV per atom. Its space group is Fm-3m.

Geometry as CIF:
```
data_Fe7Re
_symmetry_space_group_name_H-M 'P 1'
_symmetry_Int_Tables_number 1
_cell_length_a 5.003
_cell_length_b 5.003
_cell_length_c 5.003
_cell_angle_alpha 60.00
_cell_angle_beta 60.00
_cell_angle_gamma 60.00
loop_
_symmetry_equiv_pos_as_xyz
'x,y,z'
loop_
_atom_site_label
_atom_site_fract_x
_atom_site_fract_y
_atom_site_fract_z
_atom_site_occupancy
Fe1 0.500 0.000 0.000 1
Fe2 0.000 0.500 0.500 1
Fe3 0.500 0.000 0.500 1
Fe4 0.500 0.500 0.500 1
Fe5 0.000 0.000 0.500 1
Fe6 0.000 0.500 0.000 1
Fe7 0.500 0.500 0.000 1
Re1 0.000 0.000 0.000 1
```